[1]
# Ag7Pt3

A relaxed structure of Ag7Pt3 (GGA-PBE, Alexandria).

a b c (Å): 4.1102 5.7471 7.6371
angles (deg): 100.99 105.61 90.00
Last column: nearest neighbours and their distance in Å.
Fractional positions:
Ag 0.0000 0.5000 0.0000  4 Pt 2.87-2.91, 8 Ag 2.89-2.90
Ag 0.8001 0.9021 0.6002  5 Pt 2.84-2.91, 7 Ag 2.88-2.89
Ag 0.1999 0.0979 0.3998  5 Pt 2.84-2.91, 7 Ag 2.88-2.89
Ag 0.6005 0.2982 0.2010  5 Pt 2.85-2.89, 7 Ag 2.87-2.90
Ag 0.3995 0.7018 0.7990  5 Pt 2.85-2.89, 7 Ag 2.87-2.90
Ag 0.6003 0.7978 0.2005  8 Ag 2.87-2.90, 4 Pt 2.90-2.92
Ag 0.3997 0.2022 0.7995  8 Ag 2.87-2.90, 4 Pt 2.90-2.92
Pt 0.0000 0.0000 0.0000  12 Ag 2.87-2.90
Pt 0.7984 0.4065 0.5969  2 Pt 2.83, 10 Ag 2.84-2.92
Pt 0.2016 0.5935 0.4031  2 Pt 2.83, 10 Ag 2.84-2.92

Summary:
The calculation puts the formation energy at 0.03 eV per atom. Its crystal system is monoclinic. Its energy above the most stable polymorph in this dataset is 0 meV per atom.

[2]
# Ca4CoW

A relaxed structure of Ca4CoW (GGA-PBE, Alexandria).

a b c (Å): 6.2023 6.2023 6.2023
angles (deg): 60.00 60.00 60.00
Last column: nearest neighbours and their distance in Å.
Fractional positions:
Ca 0.3750 0.8749 0.3750  6 Ca 3.10
Ca 0.8749 0.3750 0.3750  6 Ca 3.10
Ca 0.3750 0.3750 0.8749  6 Ca 3.10
Ca 0.3750 0.3750 0.3750  6 Ca 3.10
Co 0.7500 0.7500 0.7500  12 Ca 3.64, 4 W 3.80
W 0.0000 0.0000 0.0000  12 Ca 3.64, 4 Co 3.80

Summary:
The calculation puts the formation energy at 1.47 eV per atom. Its crystal system is cubic.

[3]
# Ca2TlTc

A relaxed structure of Ca2TlTc (GGA-PBE, Alexandria).

a b c (Å): 3.8318 3.2182 8.6563
angles (deg): 68.01 90.00 90.00
Last column: nearest neighbours and their distance in Å.
Fractional positions:
Tl 0.5000 0.7500 0.7500  2 Tl 3.22, 8 Ca 3.35-3.36
Ca 0.0000 0.9719 0.0291  4 Tc 3.07, 2 Ca 3.22, 4 Tl 3.35-3.36
Ca 0.0000 0.5281 0.4709  4 Tc 3.07, 2 Ca 3.22, 4 Tl 3.35-3.36
Tc 0.5000 0.2500 0.2500  8 Ca 3.07, 2 Tc 3.22

Summary:
The calculation puts the formation energy at 0.31 eV per atom. Its crystal system is monoclinic. Its energy above the most stable polymorph in this dataset is 17 meV per atom.

[4]
# Cs2LaBiSe4

A relaxed structure of Cs2LaBiSe4 (GGA-PBE, Alexandria).

a b c (Å): 4.4520 7.6818 8.7716
angles (deg): 107.07 90.00 90.00
Last column: nearest neighbours and their distance in Å.
Fractional positions:
Cs 0.5000 0.0000 0.5000  6 Se 3.63
Cs 0.0000 0.5000 0.5000  6 Se 3.65-3.66
La 0.5000 0.5000 0.0000  6 Se 3.04-3.05
Bi 0.0000 0.0000 0.0000  6 Se 3.01-3.02
Se 0.5000 0.2275 0.1916  2 Bi 3.02, 1 La 3.05
Se 0.5000 0.7725 0.8084  2 Bi 3.02, 1 La 3.05
Se 0.0000 0.2664 0.8081  1 Bi 3.01, 2 La 3.04
Se 0.0000 0.7336 0.1919  1 Bi 3.01, 2 La 3.04

Summary:
Its crystal system is monoclinic. Its raw formation energy is -1.2956 eV per atom.

[5]
# Cs6HAuCl2

A relaxed structure of Cs6HAuCl2 (GGA-PBE, Alexandria).

a b c (Å): 8.5755 8.5753 9.7254
angles (deg): 63.83 63.83 59.99
Last column: nearest neighbours and their distance in Å.
Fractional positions:
Cs 0.5810 0.2474 0.2439  1 H 3.46, 2 Cl 3.52-3.54, 1 Au 3.70
Cs 0.2474 0.9276 0.2437  1 H 3.46, 2 Cl 3.52-3.54, 1 Au 3.70
Cs 0.9277 0.5811 0.2438  1 H 3.46, 2 Cl 3.52-3.54, 1 Au 3.70
Cs 0.4001 0.7240 0.7612  1 H 3.30, 2 Cl 3.50-3.52, 1 Au 3.65
Cs 0.7241 0.1148 0.7611  1 H 3.30, 2 Cl 3.50-3.52, 1 Au 3.65
Cs 0.1148 0.4001 0.7612  1 H 3.30, 2 Cl 3.50-3.52, 1 Au 3.65
H 0.3326 0.3326 0.0021  6 Cs 3.30-3.46
Au 0.8253 0.8253 0.5242  6 Cs 3.65-3.70
Cl 0.5068 0.5068 0.4797  6 Cs 3.52
Cl 0.0019 0.0019 0.9943  6 Cs 3.50-3.54

Summary:
Its crystal system is trigonal.

[6]
# KRb2TbCl6

A relaxed structure of KRb2TbCl6 (GGA-PBE, Alexandria).

a b c (Å): 7.9801 7.9787 7.9788
angles (deg): 59.98 59.98 59.98
Last column: nearest neighbours and their distance in Å.
Fractional positions:
K 0.5000 0.5000 0.5000  6 Cl 3.00
Tb 0.0000 0.0000 0.0000  6 Cl 2.65
Rb 0.7501 0.7499 0.7499  12 Cl 3.99
Rb 0.2500 0.2500 0.2500  12 Cl 3.99
Cl 0.2345 0.2346 0.7654  1 Tb 2.65
Cl 0.2345 0.7655 0.7655  1 Tb 2.65
Cl 0.7655 0.2346 0.7654  1 Tb 2.65
Cl 0.7655 0.2345 0.2345  1 Tb 2.65
Cl 0.2345 0.7654 0.2346  1 Tb 2.65
Cl 0.7655 0.7654 0.2346  1 Tb 2.65

Summary:
Its crystal system is cubic. Its raw formation energy is -2.1046 eV per atom.

[7]
# Ta3FeB6

A relaxed structure of Ta3FeB6 (GGA-PBE, Alexandria).

a b c (Å): 5.8901 5.8901 5.8901
angles (deg): 98.30 98.30 98.30
Last column: nearest neighbours and their distance in Å.
Fractional positions:
Ta 0.1917 0.7500 0.3083  10 B 2.35-2.44
Ta 0.3083 0.1917 0.7500  10 B 2.35-2.44
Ta 0.2500 0.6917 0.8083  10 B 2.35-2.44
Ta 0.7500 0.3083 0.1917  10 B 2.35-2.44
Ta 0.6917 0.8083 0.2500  10 B 2.35-2.44
Ta 0.8083 0.2500 0.6917  10 B 2.35-2.44
Fe 0.0000 0.0000 0.0000  6 B 2.30
Fe 0.5000 0.5000 0.5000  6 B 2.30
B 0.9013 0.6048 0.9806  2 B 1.76-1.83
B 0.0194 0.0987 0.3952  2 B 1.76-1.83
B 0.1048 0.4014 0.4806  2 B 1.76-1.83
B 0.3952 0.0194 0.0987  2 B 1.76-1.83
B 0.4014 0.4806 0.1048  2 B 1.76-1.83
B 0.5194 0.8952 0.5986  2 B 1.76-1.83
B 0.4806 0.1048 0.4014  2 B 1.76-1.83
B 0.5986 0.5194 0.8952  2 B 1.76-1.83
B 0.6048 0.9806 0.9013  2 B 1.76-1.83
B 0.8952 0.5986 0.5194  2 B 1.76-1.83
B 0.9806 0.9013 0.6048  2 B 1.76-1.83
B 0.0987 0.3952 0.0194  2 B 1.76-1.83

Summary:
The calculation puts the formation energy at -0.49 eV per atom. Its crystal system is trigonal.

[8]
# TbAg3

A relaxed structure of TbAg3 (GGA-PBE, Alexandria).

a b c (Å): 3.6402 4.7389 4.9963
angles (deg): 90.00 90.00 90.00
Last column: nearest neighbours and their distance in Å.
Fractional positions:
Tb 0.0000 0.5000 0.3616  10 Ag 3.06-3.13
Ag 0.0000 0.0000 0.9522  8 Ag 2.92-3.26, 2 Tb 3.13
Ag 0.5000 0.0000 0.4940  6 Ag 2.92-3.26, 4 Tb 3.06
Ag 0.5000 0.5000 0.8589  6 Ag 2.99-3.02, 4 Tb 3.08-3.10

Summary:
The calculation puts the formation energy at -0.06 eV per atom. Its crystal system is orthorhombic. Its energy above the most stable polymorph in this dataset is 149 meV per atom.

[9]
# DyZr2Sc9

A relaxed structure of DyZr2Sc9 (GGA-PBE, Alexandria).

a b c (Å): 4.6011 4.6011 13.9030
angles (deg): 90.00 90.00 90.00
Last column: nearest neighbours and their distance in Å.
Fractional positions:
Dy 0.0000 0.0000 0.0000  12 Sc 3.25-3.37
Zr 0.0000 0.0000 0.3343  12 Sc 3.17-3.26
Zr 0.0000 0.0000 0.6657  12 Sc 3.17-3.26
Sc 0.5000 0.5000 0.0000  4 Dy 3.25, 8 Sc 3.37
Sc 0.5000 0.5000 0.3371  8 Sc 3.20-3.23, 4 Zr 3.25
Sc 0.5000 0.5000 0.6629  8 Sc 3.20-3.23, 4 Zr 3.25
Sc 0.5000 0.0000 0.1770  2 Zr 3.17, 8 Sc 3.20-3.37, 2 Dy 3.37
Sc 0.5000 0.0000 0.5000  8 Sc 3.23-3.25, 4 Zr 3.26
Sc 0.5000 0.0000 0.8230  2 Zr 3.17, 8 Sc 3.20-3.37, 2 Dy 3.37
Sc 0.0000 0.5000 0.1770  2 Zr 3.17, 8 Sc 3.20-3.37, 2 Dy 3.37
Sc 0.0000 0.5000 0.5000  8 Sc 3.23-3.25, 4 Zr 3.26
Sc 0.0000 0.5000 0.8230  2 Zr 3.17, 8 Sc 3.20-3.37, 2 Dy 3.37

Summary:
The calculation puts the formation energy at 0.04 eV per atom. Its crystal system is tetragonal.

[10]
# Be2AsPd2

A relaxed structure of Be2AsPd2 (GGA-PBE, Alexandria).

a b c (Å): 6.8485 6.8485 2.8178
angles (deg): 90.00 90.00 90.00
Last column: nearest neighbours and their distance in Å.
Fractional positions:
Be 0.1377 0.6377 0.5000  6 Pd 2.43-2.48, 1 Be 2.67
Be 0.6377 0.8623 0.5000  6 Pd 2.43-2.48, 1 Be 2.67
Be 0.8623 0.3623 0.5000  6 Pd 2.43-2.48, 1 Be 2.67
Be 0.3623 0.1377 0.5000  6 Pd 2.43-2.48, 1 Be 2.67
As 0.0000 0.0000 0.0000  4 Pd 2.60, 2 As 2.82
As 0.5000 0.5000 0.0000  4 Pd 2.60, 2 As 2.82
Pd 0.3484 0.8484 0.0000  6 Be 2.43-2.48, 2 As 2.60
Pd 0.8484 0.6516 0.0000  6 Be 2.43-2.48, 2 As 2.60
Pd 0.6516 0.1516 0.0000  6 Be 2.43-2.48, 2 As 2.60
Pd 0.1516 0.3484 0.0000  6 Be 2.43-2.48, 2 As 2.60

Summary:
The calculation puts the formation energy at -0.24 eV per atom. Its crystal system is tetragonal. Its energy above the most stable polymorph in this dataset is 38 meV per atom.

[11]
# BaBPd3

A relaxed structure of BaBPd3 (GGA-PBE, Alexandria).

a b c (Å): 5.1964 6.7012 6.7023
angles (deg): 120.00 90.00 90.00
Last column: nearest neighbours and their distance in Å.
Fractional positions:
Ba 0.7500 0.6667 0.3334  12 Pd 3.36-3.38
Ba 0.2500 0.3333 0.6666  12 Pd 3.36-3.38
B 0.0000 0.0000 0.0000  6 Pd 2.14
B 0.5000 0.0000 0.0000  6 Pd 2.14
Pd 0.7500 0.7064 0.8532  2 B 2.14
Pd 0.2500 0.8532 0.7064  2 B 2.14
Pd 0.2500 0.2936 0.1468  2 B 2.14
Pd 0.7500 0.1468 0.2936  2 B 2.14
Pd 0.2500 0.8532 0.1467  2 B 2.14
Pd 0.7500 0.1468 0.8533  2 B 2.14

Summary:
The calculation puts the formation energy at -0.29 eV per atom. Its crystal system is hexagonal. Its energy above the most stable polymorph in this dataset is 42 meV per atom.

[12]
# HgBrCl2

A relaxed structure of HgBrCl2 (GGA-PBE, Alexandria).

a b c (Å): 3.7625 3.7625 10.7633
angles (deg): 90.00 90.00 119.52
Last column: nearest neighbours and their distance in Å.
Fractional positions:
Hg 0.5000 0.5000 0.2500  4 Cl 2.58
Br 0.5000 0.5000 0.7500  6 Br 3.76-3.79, 4 Cl 4.09
Cl 0.0000 0.0000 0.0869  2 Hg 2.58
Cl 0.0000 0.0000 0.4131  2 Hg 2.58

Summary:
Its crystal system is orthorhombic. Its raw formation energy is -0.1018 eV per atom. Its energy above the most stable polymorph in this dataset is 154 meV per atom.

[13]
# Rb2ReBiCl

A relaxed structure of Rb2ReBiCl (GGA-PBE, Alexandria).

a b c (Å): 7.2509 5.6048 7.2509
angles (deg): 90.00 90.00 90.00
Last column: nearest neighbours and their distance in Å.
Fractional positions:
Re 0.5000 0.5000 0.5000  8 Rb 4.58, 4 Cl 5.13
Bi 0.0000 0.0000 0.0000  2 Cl 2.80
Rb 0.0000 0.0000 0.5000  2 Bi 3.63
Rb 0.5000 0.0000 0.0000  2 Bi 3.63
Cl 0.0000 0.5000 0.0000  2 Bi 2.80

Summary:
Its crystal system is tetragonal. Its raw formation energy is 1.0532 eV per atom.

We obtain total moment values of 0.00; 5.64; 0.00; 0.00; 1.24; 0.00; 3.51; 0.00; 0.00; 0.00; 0.00; 1.02; 4.91 Bohr magnetons per cell for the records listed above, in that order.
We obtain E values of -3.78; -3.21; -3.87; -4.35; -2.36; -3.98; -8.90; -3.35; -6.52; -4.73; -5.12; -1.52; -2.97 eV per atom for the records listed above, in that order.